# CaTeP2S

A geometry-optimized CaTeP2S structure (GGA-PBEsol, Alexandria via LeMat-Bulk).

Computed properties:
- E_tot (eV per atom) = -3.459
- raw formation energy (eV per formula unit) = 4.332

abc: 4.8762 5.2003 5.2003
angles: 90.00 90.00 90.00
Fractional coordinates of all 5 atoms:
Te: 0.5000 0.5000 0.5000
P: 0.0000 0.5000 0.0000
P: 0.0000 0.0000 0.5000
Ca: 0.0000 0.0000 0.0000
S: 0.5000 0.0000 0.0000

=====

# CaYP2S

A geometry-optimized CaYP2S structure (GGA-PBEsol, Alexandria via LeMat-Bulk).

Computed properties:
- E_tot (eV per atom) = -5.411
- raw formation energy (eV per formula unit) = -2.132

abc: 5.1169 5.1376 5.1376
angles: 90.00 90.00 90.00
Fractional coordinates of all 5 atoms:
P: 0.0000 0.0000 0.5000
P: 0.0000 0.5000 0.0000
Ca: 0.5000 0.5000 0.5000
Y: 0.0000 0.0000 0.0000
S: 0.5000 0.0000 0.0000

=====

# CaZnP2S

A geometry-optimized CaZnP2S structure (GGA-PBEsol, Alexandria via LeMat-Bulk).

Computed properties:
- E_tot (eV per atom) = -2.604
- raw formation energy (eV per formula unit) = 6.661

abc: 5.1518 5.1518 5.2552
angles: 90.00 90.00 90.00
Fractional coordinates of all 5 atoms:
P: 0.0000 0.5000 0.0000
P: 0.5000 0.0000 0.0000
Zn: 0.0000 0.0000 0.5000
S: 0.5000 0.5000 0.5000
Ca: 0.0000 0.0000 0.0000

=====

# Ca2SbP

A geometry-optimized Ca2SbP structure (GGA-PBEsol, Alexandria via LeMat-Bulk).

Computed properties:
- E_tot (eV per atom) = -4.360
- raw formation energy (eV per formula unit) = -2.823

abc: 3.3758 5.0778 6.1158
angles: 90.00 90.00 90.00
Fractional coordinates of all 4 atoms:
P: 0.0000 0.0000 0.0000
Ca: 0.0000 0.0000 0.5000
Ca: 0.5000 0.5000 0.0000
Sb: 0.5000 0.5000 0.5000

=====

# CaSb2P2

A geometry-optimized CaSb2P2 structure (GGA-PBEsol, Alexandria via LeMat-Bulk).

Computed properties:
- E_tot (eV per atom) = -4.787
- raw formation energy (eV per formula unit) = -1.102

abc: 3.7718 7.8578 7.8578
angles: 90.00 90.00 90.00
Fractional coordinates of all 10 atoms:
Sb: 0.5000 0.1644 0.6644
Sb: 0.5000 0.8356 0.3356
Sb: 0.5000 0.3356 0.1644
Sb: 0.5000 0.6644 0.8356
P: 0.0000 0.8254 0.6746
P: 0.0000 0.3254 0.8254
P: 0.0000 0.1746 0.3254
P: 0.0000 0.6746 0.1746
Ca: 0.0000 0.0000 0.0000
Ca: 0.0000 0.5000 0.5000

=====

# CaSb3P

A geometry-optimized CaSb3P structure (GGA-PBEsol, Alexandria via LeMat-Bulk).

Computed properties:
- E_tot (eV per atom) = -3.156
- raw formation energy (eV per formula unit) = 5.818

abc: 5.5282 5.5282 5.5282
angles: 90.00 90.00 90.00
Fractional coordinates of all 5 atoms:
Ca: 0.0000 0.0000 0.0000
Sb: 0.0000 0.0000 0.5000
Sb: 0.0000 0.5000 0.0000
Sb: 0.5000 0.0000 0.0000
P: 0.5000 0.5000 0.5000